Arrangement 1

Li2MnPt PBE relaxed; N(E_F) = 2.61 states/eV/f.u.
1.0
3.7464 0.0000 0.0000
0.0000 3.7464 0.0000
0.0000 0.0000 4.1254
Li Mn Pt
2 1 1
direct
0.0000 0.0000 0.0000
0.5000 0.5000 0.0000
0.5000 0.0000 0.5000
0.0000 0.5000 0.5000

Arrangement 2

Li2MnPt PBE relaxed; N(E_F) = 4.75 states/eV/f.u.
1.0
-4.7275 1.9097 -4.5213
0.2638 -6.1696 -2.8817
-3.9649 -2.8988 -2.2142
Mn Pt Li
2 2 4
direct
0.5000 0.5000 0.0000
0.2500 0.7500 0.5000
0.0000 0.0000 0.0000
0.7500 0.2500 0.5000
0.6285 0.1250 0.2500
0.1215 0.6250 0.2500
0.3750 0.3715 0.7500
0.8750 0.8785 0.7500

Tell me which of them is the most stable. Sure, it is arrangement 1.

Arrangement 1

Li2MnPt PBE relaxed; N(E_F) = 2.36 states/eV/f.u.
1.0
-4.3088 -1.5556 -1.2075
3.5088 -2.0897 -2.4011
0.1638 -1.9708 1.9546
Li Mn Pt
2 1 1
direct
0.0000 0.0000 0.0000
0.5000 0.5000 0.0000
0.5000 0.0000 0.5000
0.0000 0.5000 0.5000

Arrangement 2

Li2MnPt PBE relaxed; N(E_F) = 2.03 states/eV/f.u.
1.0
2.7328 0.0000 0.0000
0.0000 2.7328 0.0000
0.0000 0.0000 8.0200
Li Mn Pt
2 1 1
direct
0.0000 0.0000 0.9714
0.0000 0.0000 0.5286
0.5000 0.5000 0.2500
0.5000 0.5000 0.7500

Tell me which of them is the most stable. Sure, it is arrangement 1.

Arrangement 1

Li2MnPt PBE relaxed; N(E_F) = 2.99 states/eV/f.u.
1.0
2.7029 0.0255 0.0000
-1.2431 2.4002 0.0000
0.0000 0.0000 9.0281
Li Mn Pt
2 1 1
direct
0.0000 0.0000 0.9875
0.0000 0.0000 0.5125
0.5000 0.5000 0.2500
0.5000 0.5000 0.7500

Arrangement 2

Li2MnPt PBE relaxed; N(E_F) = 2.31 states/eV/f.u.
1.0
4.5310 0.0000 0.0000
0.0000 2.7530 0.0055
0.0000 0.2593 4.6030
Li Mn Pt
2 1 1
direct
0.0000 0.9971 0.9853
0.0000 0.5029 0.5147
0.5000 0.2500 0.2500
0.5000 0.7500 0.7500

Tell me which of them is the most stable. Sure, it is arrangement 2.

Arrangement 1

Li2MnPt PBE relaxed; N(E_F) = 2.28 states/eV/f.u.
1.0
-2.1708 1.3612 -4.5665
-3.0100 -1.0412 4.1562
-1.2178 2.4190 0.5491
Li Mn Pt
2 1 1
direct
0.0000 0.0000 0.0000
0.5000 0.5000 0.0000
0.5000 0.0000 0.5000
0.0000 0.5000 0.5000

Arrangement 2

Li2MnPt PBE relaxed; N(E_F) = 1.26 states/eV/f.u.
1.0
3.2469 0.0000 0.0000
0.0000 3.2469 0.0000
0.0000 0.0000 5.8294
Li Mn Pt
2 1 1
direct
0.0000 0.0000 0.9863
0.5000 0.5000 0.2378
0.0000 0.0000 0.5276
0.5000 0.5000 0.7482

Tell me which of them is the most stable. Sure, it is arrangement 1.

Arrangement 1

LiMnPt PBE relaxed; N(E_F) = 1.53 states/eV/f.u.
1.0
-1.6801 -1.6540 3.5085
1.0008 -2.5101 -3.2505
2.5262 -0.3473 1.0460
Li Mn Pt
1 1 1
direct
0.0000 0.0000 0.0155
0.6667 0.3333 0.2951
0.3333 0.6667 0.6895

Arrangement 2

LiMnPt PBE relaxed; N(E_F) = 2.56 states/eV/f.u.
1.0
7.7029 0.0000 0.0000
0.0000 2.7318 0.0000
0.0000 0.0000 7.8057
Mn Pt Li
4 4 4
direct
0.9045 0.2500 0.4416
0.5955 0.7500 0.9416
0.0955 0.7500 0.5584
0.4045 0.2500 0.0584
0.2700 0.2500 0.3471
0.2300 0.7500 0.8471
0.7300 0.7500 0.6529
0.7700 0.2500 0.1529
0.9342 0.2500 0.8530
0.5658 0.7500 0.3530
0.0658 0.7500 0.1470
0.4342 0.2500 0.6470

Arrangement 3

LiMnPt PBE relaxed; N(E_F) = 1.92 states/eV/f.u.
1.0
-8.1592 3.5375 10.7331
-4.9622 2.3028 2.5096
2.9095 -3.8985 -3.5441
Mn Pt Li
2 2 2
direct
0.2305 0.8701 0.1299
0.3951 0.3734 0.6266
0.5337 0.9042 0.0958
0.9060 0.8520 0.1480
0.7194 0.3808 0.6192
0.0343 0.3930 0.6070

Tell me which of them is the most stable. Sure, it is arrangement 1.

Arrangement 1

LiMnPt PBE relaxed; N(E_F) = 2.13 states/eV/f.u.
1.0
0.1787 4.0173 1.3226
-2.1048 -0.9705 -3.5422
-4.5141 -0.7499 2.8878
Mn Pt Li
2 2 2
direct
0.3333 0.6667 0.1796
0.3333 0.6667 0.8204
0.0000 0.0000 0.2441
0.0000 0.0000 0.7559
0.6667 0.3333 0.0000
0.6667 0.3333 0.5000

Arrangement 2

LiMnPt PBE relaxed; N(E_F) = 1.77 states/eV/f.u.
1.0
2.7502 0.0000 0.0968
0.0000 3.8808 0.0000
-0.2868 0.0000 8.0407
Mn Pt Li
2 2 2
direct
0.2313 0.0000 0.6758
0.7312 0.5000 0.4993
0.7317 0.5000 0.1794
0.7314 0.5000 0.8282
0.2317 0.0000 0.0126
0.2315 0.0000 0.3262

Arrangement 3

LiMnPt PBE relaxed; N(E_F) = 2.13 states/eV/f.u.
1.0
12.9060 0.0000 0.1103
6.3402 1.3241 -2.2618
-6.3402 1.3241 2.2618
Mn Pt Li
2 2 2
direct
0.2550 0.6851 0.3149
0.3816 0.4309 0.5691
0.5104 0.0967 0.9033
0.8514 0.4432 0.5568
0.7680 0.6992 0.3008
0.0525 0.0866 0.9134

Tell me which of them is the most stable. Sure, it is arrangement 2.